ErH2 | GGA-PBE | relaxed

Values from the calculation:
**VASP energy**: -21.6 eV/cell

CIF file:
```
data_ErH2
_chemical_formula_sum 'Er2 H4'
_symmetry_space_group_name_H-M 'P 1'
_symmetry_Int_Tables_number 1
_symmetry_space_group_name_Hall 'P 1'
_cell_length_a 6.3611
_cell_length_b 6.3611
_cell_length_c 6.3611
_cell_angle_alpha 60.00
_cell_angle_beta 60.00
_cell_angle_gamma 60.00
loop_
_atom_site_label
_atom_site_type_symbol
_atom_site_fract_x
_atom_site_fract_y
_atom_site_fract_z
Er1 Er 0.1250 0.1250 0.1250
Er2 Er 0.8750 0.8750 0.8750
H1 H 0.0000 0.0000 0.0000
H2 H 0.0000 0.0000 0.5000
H3 H 0.0000 0.5000 0.0000
H4 H 0.5000 0.0000 0.0000
```

ErH | GGA-PBE | relaxed

Values from the calculation:
**VASP energy**: -17.3 eV/cell

CIF file:
```
data_ErH
_chemical_formula_sum 'Er2 H2'
_symmetry_space_group_name_H-M 'P 1'
_symmetry_Int_Tables_number 1
_symmetry_space_group_name_Hall 'P 1'
_cell_length_a 3.5853
_cell_length_b 3.5853
_cell_length_c 5.3362
_cell_angle_alpha 90.00
_cell_angle_beta 90.00
_cell_angle_gamma 120.00
loop_
_atom_site_label
_atom_site_type_symbol
_atom_site_fract_x
_atom_site_fract_y
_atom_site_fract_z
Er1 Er 0.3333 0.6667 0.2500
Er2 Er 0.6667 0.3333 0.7500
H1 H 0.0000 0.0000 0.0000
H2 H 0.0000 0.0000 0.5000
```

ErH | GGA-PBE | relaxed

Values from the calculation:
**VASP energy**: -17.7 eV/cell

CIF file:
```
data_ErH
_chemical_formula_sum 'Er2 H2'
_symmetry_space_group_name_H-M 'P 1'
_symmetry_Int_Tables_number 1
_symmetry_space_group_name_Hall 'P 1'
_cell_length_a 3.5958
_cell_length_b 3.5958
_cell_length_c 5.7533
_cell_angle_alpha 90.00
_cell_angle_beta 90.00
_cell_angle_gamma 120.00
loop_
_atom_site_label
_atom_site_type_symbol
_atom_site_fract_x
_atom_site_fract_y
_atom_site_fract_z
Er1 Er 0.3333 0.6667 0.0000
Er2 Er 0.6667 0.3333 0.5000
H1 H 0.3333 0.6667 0.3875
H2 H 0.6667 0.3333 0.8875
```

ErH | GGA-PBE | relaxed

Values from the calculation:
**VASP energy**: -34.4 eV/cell

CIF file:
```
data_ErH
_chemical_formula_sum 'Er4 H4'
_symmetry_space_group_name_H-M 'P 1'
_symmetry_Int_Tables_number 1
_symmetry_space_group_name_Hall 'P 1'
_cell_length_a 4.8484
_cell_length_b 4.8484
_cell_length_c 4.8484
_cell_angle_alpha 90.00
_cell_angle_beta 90.00
_cell_angle_gamma 90.00
loop_
_atom_site_label
_atom_site_type_symbol
_atom_site_fract_x
_atom_site_fract_y
_atom_site_fract_z
Er1 Er 0.0000 0.0000 0.0000
Er2 Er 0.0000 0.5000 0.5000
Er3 Er 0.5000 0.0000 0.5000
Er4 Er 0.5000 0.5000 0.0000
H1 H 0.0000 0.0000 0.5000
H2 H 0.0000 0.5000 0.0000
H3 H 0.5000 0.0000 0.0000
H4 H 0.5000 0.5000 0.5000
```